Density functional theory data (PBE) for crystalline Yb6Al43Mo4 at its relaxed geometry.

Cell lengths 11.0366, 11.0366, 17.6611 Å; angles 90.00, 90.00, 120.00 degrees
Atoms (fractional coordinates):
Al 0.2361 0.3933 0.3361
Al 0.2535 0.2535 0.4690
Al 0.2467 0.4933 0.0000
Al 0.1587 0.0000 0.3852
Al 0.1572 0.3933 0.8361
Yb 0.4688 0.0000 0.0947
Al 0.8413 0.0000 0.8852
Yb 0.0000 0.4688 0.0947
Yb 0.5312 0.5312 0.0947
Al 0.6067 0.8428 0.3361
Al 0.7639 0.6067 0.8361
Al 0.8526 0.4031 0.2500
Mo 0.0000 0.7298 0.7500
Al 0.6067 0.8428 0.1639
Al 0.8428 0.6067 0.1639
Al 0.3333 0.6667 0.1257
Al 0.6667 0.3333 0.3743
Al 0.7465 0.7465 0.9690
Al 0.0000 0.1587 0.3852
Yb 0.4688 0.0000 0.4053
Al 0.7465 0.0000 0.4690
Mo 0.2702 0.0000 0.2500
Al 0.3933 0.2361 0.3361
Al 0.7639 0.6067 0.6639
Al 0.1474 0.5505 0.2500
Yb 0.5312 0.5312 0.4053
Al 0.5067 0.7533 0.0000
Al 0.5505 0.4031 0.7500
Al 0.3933 0.2361 0.1639
Al 0.2535 0.0000 0.9690
Al 0.6667 0.3333 0.8743
Al 0.5969 0.1474 0.7500
Mo 0.7298 0.0000 0.7500
Al 0.1587 0.1587 0.8852
Al 0.8413 0.8413 0.1148
Al 0.3933 0.1572 0.6639
Al 0.8428 0.2361 0.6639
Al 0.7639 0.1572 0.1639
Al 0.1572 0.7639 0.1639
Al 0.7533 0.5067 0.5000
Al 0.1471 0.0000 0.7500
Al 0.3333 0.6667 0.6257
Al 0.0000 0.2535 0.9690
Al 0.5969 0.4495 0.2500
Al 0.2361 0.8428 0.6639
Mo 0.0000 0.2702 0.2500
Al 0.8428 0.2361 0.8361
Al 0.8413 0.8413 0.3852
Al 0.7639 0.1572 0.3361
Al 0.4495 0.8526 0.7500
Al 0.1474 0.5969 0.7500
Al 0.6067 0.7639 0.6639
Yb 0.0000 0.5312 0.5947
Al 0.2361 0.8428 0.8361
Yb 0.4688 0.4688 0.9053
Al 0.5067 0.7533 0.5000
Mo 0.0000 0.0000 0.5000
Yb 0.5312 0.0000 0.9053
Al 0.0000 0.2535 0.5310
Al 0.0000 0.8413 0.8852
Al 0.7533 0.2467 0.5000
Al 0.7533 0.2467 0.0000
Mo 0.0000 0.0000 0.0000
Al 0.8529 0.0000 0.2500
Al 0.8526 0.4495 0.7500
Al 0.4495 0.5969 0.2500
Al 0.4031 0.8526 0.2500
Al 0.1572 0.3933 0.6639
Al 0.5505 0.1474 0.2500
Al 0.6667 0.3333 0.1257
Al 0.6667 0.3333 0.6257
Al 0.0000 0.8529 0.2500
Yb 0.0000 0.5312 0.9053
Al 0.1572 0.7639 0.3361
Yb 0.0000 0.4688 0.4053
Al 0.2467 0.7533 0.5000
Al 0.7465 0.0000 0.0310
Al 0.3933 0.1572 0.8361
Yb 0.5312 0.0000 0.5947
Al 0.4933 0.2467 0.5000
Al 0.4031 0.5505 0.7500
Al 0.1471 0.1471 0.2500
Al 0.1587 0.1587 0.6148
Yb 0.4688 0.4688 0.5947
Al 0.2535 0.2535 0.0310
Al 0.0000 0.7465 0.0310
Al 0.3333 0.6667 0.3743
Al 0.0000 0.8413 0.6148
Al 0.7533 0.5067 0.0000
Al 0.0000 0.1587 0.1148
Al 0.3333 0.6667 0.8743
Mo 0.7298 0.7298 0.2500
Al 0.0000 0.7465 0.4690
Al 0.2361 0.3933 0.1639
Al 0.7465 0.7465 0.5310
Al 0.0000 0.1471 0.7500
Al 0.2467 0.4933 0.5000
Al 0.8428 0.6067 0.3361
Al 0.6067 0.7639 0.8361
Al 0.2535 0.0000 0.5310
Al 0.4933 0.2467 0.0000
Al 0.2467 0.7533 0.0000
Mo 0.2702 0.2702 0.7500
Al 0.8413 0.0000 0.6148
Al 0.8529 0.8529 0.7500
Al 0.1587 0.0000 0.1148

DOS(E_F) in states/eV/cell: 51.9
Energy of formation in eV per atom: -0.3015
Crystal system: hexagonal

---

Density functional theory data (PBE) for crystalline Al12Zn6Mo at its relaxed geometry.

Cell lengths 6.8250, 6.8250, 6.8250 Å; angles 93.73, 93.73, 93.73 degrees
Atoms (fractional coordinates):
Zn 0.1143 0.7400 0.2732
Al 0.3731 0.0543 0.1347
Al 0.6269 0.9457 0.8653
Al 0.5318 0.2015 0.4847
Mo 0.0000 0.0000 0.0000
Zn 0.7400 0.2732 0.1143
Al 0.9457 0.8653 0.6269
Al 0.7985 0.5153 0.4682
Zn 0.2732 0.1143 0.7400
Al 0.4682 0.7985 0.5153
Al 0.4847 0.5318 0.2015
Al 0.1347 0.3731 0.0543
Al 0.5153 0.4682 0.7985
Zn 0.7268 0.8857 0.2600
Zn 0.2600 0.7268 0.8857
Al 0.8653 0.6269 0.9457
Al 0.0543 0.1347 0.3731
Zn 0.8857 0.2600 0.7268
Al 0.2015 0.4847 0.5318

DOS(E_F) in states/eV/cell: 5.7
Energy of formation in eV per atom: 0.0448
Crystal system: trigonal

---

Density functional theory data (PBE) for crystalline AlZn2Mo at its relaxed geometry.

Cell lengths 8.9701, 8.9701, 8.9701 Å; angles 18.29, 18.29, 18.29 degrees
Atoms (fractional coordinates):
Al 0.2500 0.2500 0.2500
Zn 0.5006 0.5006 0.5006
Mo 0.7500 0.7500 0.7500
Zn 0.9994 0.9994 0.9994

DOS(E_F) in states/eV/cell: 1.9
Energy of formation in eV per atom: 0.1144
Crystal system: trigonal

---

Density functional theory data (PBE) for crystalline Al2ZnMo at its relaxed geometry.

Cell lengths 4.8439, 4.8439, 4.9171 Å; angles 83.85, 83.85, 32.64 degrees
Atoms (fractional coordinates):
Mo 0.7500 0.7500 0.7500
Zn 0.2500 0.2500 0.2500
Al 0.0076 0.0076 0.9929
Al 0.4924 0.4924 0.5071

DOS(E_F) in states/eV/cell: 0.8
Energy of formation in eV per atom: -0.0508
Crystal system: monoclinic

---

Density functional theory data (PBE) for crystalline Al2ZnMo2 at its relaxed geometry.

Cell lengths 6.6447, 6.6447, 3.4796 Å; angles 90.00, 90.00, 90.00 degrees
Atoms (fractional coordinates):
Mo 0.6688 0.8312 0.5000
Al 0.6317 0.1317 0.0000
Al 0.8683 0.6317 0.0000
Zn 0.5000 0.5000 0.0000
Zn 0.0000 0.0000 0.0000
Mo 0.8312 0.3312 0.5000
Al 0.1317 0.3683 0.0000
Al 0.3683 0.8683 0.0000
Mo 0.3312 0.1688 0.5000
Mo 0.1688 0.6688 0.5000

DOS(E_F) in states/eV/cell: 13.9
Energy of formation in eV per atom: 0.0628
Crystal system: tetragonal

---

Density functional theory data (PBE) for crystalline Al2ZnMo at its relaxed geometry.

Cell lengths 8.9211, 8.9211, 8.9211 Å; angles 18.58, 18.58, 18.58 degrees
Atoms (fractional coordinates):
Zn 0.7500 0.7500 0.7500
Al 0.0006 0.0006 0.0006
Al 0.4994 0.4994 0.4994
Mo 0.2500 0.2500 0.2500

DOS(E_F) in states/eV/cell: 1.9
Energy of formation in eV per atom: -0.0070
Crystal system: trigonal

---

Density functional theory data (PBE) for crystalline AlZn2Mo at its relaxed geometry.

Cell lengths 3.7823, 3.7854, 4.0854 Å; angles 90.00, 90.00, 90.00 degrees
Site moments in Bohr magnetons follow the coordinates.
Atoms (fractional coordinates):
Mo 0.0000 0.5000 0.5000  0.20
Al 0.5000 0.0000 0.5000  0.00
Zn 0.0000 0.0000 0.0000  0.00
Zn 0.5000 0.5000 0.0000  0.00

DOS(E_F) in states/eV/cell: 2.6
Energy of formation in eV per atom: -0.0871
Crystal system: tetragonal

---

Density functional theory data (PBE) for crystalline AlZn2Mo at its relaxed geometry.

Cell lengths 2.7205, 2.7205, 8.2553 Å; angles 90.00, 90.00, 90.00 degrees
Atoms (fractional coordinates):
Zn 0.0000 0.0000 0.0002
Al 0.0000 0.0000 0.5024
Mo 0.5000 0.5000 0.7489
Zn 0.5000 0.5000 0.2485

DOS(E_F) in states/eV/cell: 2.7
Energy of formation in eV per atom: 0.0520
Crystal system: tetragonal

---

Density functional theory data (PBE) for crystalline AlZn2Mo at its relaxed geometry.

Cell lengths 6.9844, 6.9844, 5.5823 Å; angles 51.28, 51.28, 90.00 degrees
Atoms (fractional coordinates):
Zn 0.3750 0.3879 0.7500
Zn 0.1379 0.6250 0.2500
Mo 0.7500 0.2500 0.5000
Al 0.2500 0.7500 0.5000
Mo 0.0000 0.0000 0.0000
Zn 0.8750 0.8621 0.7500
Zn 0.6121 0.1250 0.2500
Al 0.5000 0.5000 0.0000

DOS(E_F) in states/eV/cell: 7.0
Energy of formation in eV per atom: 0.3334
Crystal system: tetragonal

---

Density functional theory data (PBE) for crystalline Al2ZnMo at its relaxed geometry.

Cell lengths 4.0489, 4.0489, 3.6276 Å; angles 90.00, 90.00, 90.00 degrees
Site moments in Bohr magnetons follow the coordinates.
Atoms (fractional coordinates):
Al 0.0000 0.0000 0.0000  0.00
Mo 0.5000 0.0000 0.5000  0.46
Zn 0.0000 0.5000 0.5000  0.00
Al 0.5000 0.5000 0.0000  0.00

DOS(E_F) in states/eV/cell: 2.7
Energy of formation in eV per atom: -0.1201
Crystal system: tetragonal

---

Density functional theory data (PBE) for crystalline Al2ZnMo at its relaxed geometry.

Cell lengths 4.6549, 2.7384, 4.8192 Å; angles 89.99, 90.00, 90.00 degrees
Atoms (fractional coordinates):
Mo 0.0000 0.6249 0.4567
Zn 0.5000 0.6253 0.7922
Al 0.0000 0.1248 0.9523
Al 0.5000 0.1251 0.2988

DOS(E_F) in states/eV/cell: 2.0
Energy of formation in eV per atom: -0.1173
Crystal system: orthorhombic

---

Density functional theory data (PBE) for crystalline AlZn2Mo at its relaxed geometry.

Cell lengths 5.0112, 5.0112, 5.0112 Å; angles 136.15, 136.15, 63.74 degrees
Atoms (fractional coordinates):
Zn 0.0000 0.0000 0.0000
Zn 0.2500 0.7500 0.5000
Mo 0.7500 0.2500 0.5000
Al 0.5000 0.5000 0.0000

DOS(E_F) in states/eV/cell: 3.7
Energy of formation in eV per atom: -0.0180
Crystal system: tetragonal